Below is a geometry-optimized MgBe2Hg2 structure, with properties calculated at the PBEsol level.

a = 3.572 Å, b = 3.572 Å, c = 12.643 Å
α = 90.00°, β = 90.00°, γ = 90.00°
Space group I4/mmm (No. 139)
Inequivalent atoms, fractional coordinates:
Mg (0.000, 0.000, 0.000) x2
Be (0.000, 0.500, 0.250) x4
Hg (0.000, 0.000, 0.384) x4

Energy of formation ... 0.139 eV/atom
E ... -2.0309 eV/atom
Crystal system ... tetragonal
D(E_F) ... 0.2742 states/eV/atom